No. 1
# ZnAs2Br

ZnAs2Br after structural relaxation (PBE, Alexandria via LeMat-Bulk).

Cell and atoms, written as CIF:
```
data_ZnAs2Br
_chemical_formula_sum 'Zn1 As2 Br1'
_cell_length_a 3.938
_cell_length_b 4.177
_cell_length_c 5.934
_cell_angle_alpha 90.00
_cell_angle_beta 106.37
_cell_angle_gamma 90.00
_space_group_name_H-M_alt 'P 1 2/m 1'
_space_group_IT_number 10
_space_group_name_Hall '-P 2y'
loop_
_atom_site_label
_atom_site_fract_x
_atom_site_fract_y
_atom_site_fract_z
Zn1 0.000 0.000 0.000
As1 0.216 0.500 0.840
Br1 0.500 0.000 0.500
```

Computed properties:
ΔE to the lowest computed polymorph: 12.0 kJ per mole of atoms
Raw formation energy: -0.19 eV/f.u.


No. 2
# LiZn4Cl

LiZn4Cl after structural relaxation (PBE, Alexandria via LeMat-Bulk).

Cell and atoms, written as CIF:
```
data_LiZn4Cl
_chemical_formula_sum 'Li4 Zn16 Cl4'
_cell_length_a 7.740
_cell_length_b 7.740
_cell_length_c 7.740
_cell_angle_alpha 90.00
_cell_angle_beta 90.00
_cell_angle_gamma 90.00
_space_group_name_H-M_alt 'F -4 3 m'
_space_group_IT_number 216
_space_group_name_Hall 'F -4 2 3'
loop_
_atom_site_label
_atom_site_fract_x
_atom_site_fract_y
_atom_site_fract_z
Li1 0.000 0.000 0.000
Zn1 0.126 0.126 0.626
Cl1 0.250 0.250 0.250
```

Computed properties:
Raw formation energy: -0.09 eV/f.u.


No. 3
# LiAlAu4

LiAlAu4 after structural relaxation (PBE, Alexandria via LeMat-Bulk).

Cell and atoms, written as CIF:
```
data_LiAlAu4
_chemical_formula_sum 'Li1 Al1 Au4'
_cell_length_a 4.260
_cell_length_b 4.260
_cell_length_c 6.068
_cell_angle_alpha 90.00
_cell_angle_beta 90.00
_cell_angle_gamma 90.00
_space_group_name_H-M_alt 'P 4/m m m'
_space_group_IT_number 123
_space_group_name_Hall '-P 4 2'
loop_
_atom_site_label
_atom_site_fract_x
_atom_site_fract_y
_atom_site_fract_z
Li1 0.000 0.000 0.000
Al1 0.500 0.500 0.500
Au1 0.000 0.500 0.249
```

Computed properties:
ΔE to the lowest computed polymorph: 9.1 kJ per mole of atoms
DFT formation energy: -1.731 eV/f.u.


| no. | E (eV per atom) |
| --- | --- |
| 1 | -3.109 |
| 2 | -1.490 |
| 3 | -3.416 |